[1]
Li2CdGa2Ag2 | PBE | relaxed

Summary:
SG: C2/m (12)

Unit cell a=4.197 b=4.882 c=6.604 alpha=99.72 beta=90.00 gamma=115.46
Element x y z (fractional)
1 Ga 0.864 0.728 0.574
2 Ga 0.136 0.272 0.426
3 Li 0.295 0.590 0.844
4 Li 0.705 0.410 0.156
5 Ag 0.589 0.177 0.714
6 Ag 0.411 0.823 0.286
7 Cd 0.000 0.000 0.000

=====

[2]
Li5Cd2GaAg2 | PBE | relaxed

Summary:
SG: P4/mbm (127)

Unit cell a=3.794 b=9.811 c=9.811 alpha=90.00 beta=90.00 gamma=90.00
Element x y z (fractional)
1 Ag 0.000 0.626 0.874
2 Ag 0.000 0.874 0.374
3 Ag 0.000 0.126 0.626
4 Ag 0.000 0.374 0.126
5 Li 0.500 0.000 0.500
6 Li 0.500 0.311 0.578
7 Li 0.500 0.578 0.689
8 Li 0.500 0.078 0.811
9 Li 0.500 0.422 0.311
10 Li 0.500 0.811 0.922
11 Li 0.500 0.500 0.000
12 Li 0.500 0.689 0.422
13 Li 0.500 0.922 0.189
14 Li 0.500 0.189 0.078
15 Cd 0.000 0.170 0.330
16 Cd 0.000 0.830 0.670
17 Cd 0.000 0.670 0.170
18 Cd 0.000 0.330 0.830
19 Ga 0.000 0.000 0.000
20 Ga 0.000 0.500 0.500

=====

[3]
Li2Cd2GaAg2 | PBE | relaxed

Summary:
SG: C2/m (12)

Unit cell a=4.223 b=9.144 c=6.711 alpha=147.42 beta=90.00 gamma=103.35
Element x y z (fractional)
1 Cd 0.718 0.435 0.090
2 Cd 0.282 0.565 0.910
3 Ga 0.000 0.000 0.500
4 Li 0.566 0.132 0.344
5 Li 0.434 0.868 0.656
6 Ag 0.864 0.727 0.805
7 Ag 0.136 0.273 0.195

=====

[4]
LiCd4GaAg | PBE | relaxed

Summary:
SG: Imma (74)

Unit cell a=5.888 b=7.769 c=7.769 alpha=77.04 beta=67.73 gamma=67.73
Element x y z (fractional)
1 Ga 0.500 0.000 0.500
2 Ga 0.000 0.000 0.500
3 Cd 0.646 0.339 0.369
4 Cd 0.270 0.733 0.233
5 Cd 0.354 0.131 0.161
6 Cd 0.236 0.267 0.767
7 Cd 0.764 0.733 0.233
8 Cd 0.730 0.267 0.767
9 Cd 0.354 0.661 0.631
10 Cd 0.646 0.869 0.839
11 Li 0.000 0.500 0.500
12 Li 0.000 0.000 0.000
13 Ag 0.760 0.490 0.990
14 Ag 0.240 0.510 0.010

=====

[5]
LiCdGaAg2 | PBE | relaxed

Summary:
SG: P2_1/m (11)

Unit cell a=4.332 b=6.660 c=6.192 alpha=85.58 beta=90.00 gamma=90.00
Element x y z (fractional)
1 Cd 0.250 0.353 0.932
2 Cd 0.750 0.647 0.068
3 Ag 0.250 0.157 0.530
4 Ag 0.250 0.937 0.144
5 Ag 0.750 0.843 0.470
6 Ag 0.750 0.063 0.856
7 Li 0.250 0.554 0.365
8 Li 0.750 0.446 0.635
9 Ga 0.250 0.763 0.740
10 Ga 0.750 0.237 0.260

=====

[6]
Li3Cd2Ga2Ag4 | PBE | relaxed

Summary:
SG: P-3m1 (164)

Unit cell a=4.531 b=4.531 c=11.126 alpha=90.00 beta=90.00 gamma=120.00
Element x y z (fractional)
1 Cd 0.333 0.667 0.572
2 Cd 0.667 0.333 0.428
3 Ag 0.333 0.667 0.835
4 Ag 0.333 0.667 0.313
5 Ag 0.667 0.333 0.165
6 Ag 0.667 0.333 0.687
7 Li 0.000 0.000 0.734
8 Li 0.000 0.000 0.000
9 Li 0.000 0.000 0.266
10 Ga 0.333 0.667 0.078
11 Ga 0.667 0.333 0.922

=====

[7]
Li2Cd2GaAg4 | PBE | relaxed

Summary:
SG: P-1 (2)

Unit cell a=4.893 b=8.241 c=7.207 alpha=138.88 beta=111.66 gamma=88.07
Element x y z (fractional)
1 Ga 0.000 0.000 0.000
2 Ag 0.046 0.773 0.218
3 Ag 0.954 0.227 0.782
4 Ag 0.631 0.681 0.349
5 Ag 0.369 0.319 0.651
6 Li 0.507 0.871 0.124
7 Li 0.493 0.129 0.876
8 Cd 0.784 0.418 0.533
9 Cd 0.216 0.582 0.467

=====

[8]
Li3CdGa2Ag3 | PBE | relaxed

Summary:
SG: P-62m (189)

Unit cell a=2.895 b=7.786 c=7.786 alpha=120.00 beta=90.00 gamma=90.00
Element x y z (fractional)
1 Cd 0.000 0.000 0.000
2 Ga 0.500 0.667 0.333
3 Ga 0.500 0.333 0.667
4 Ag 0.000 0.000 0.371
5 Ag 0.000 0.629 0.629
6 Ag 0.000 0.371 0.000
7 Li 0.500 0.000 0.690
8 Li 0.500 0.310 0.310
9 Li 0.500 0.690 0.000

=====

no.,calculated total energy (Ry per atom)
1,-0.1859
2,-0.1589
3,-0.1643
4,-0.1206
5,-0.1788
6,-0.1814
7,-0.1729
8,-0.1881